## NaMnHO2 (PBE with a Hubbard U)

Data for NaMnHO2 after structural relaxation.

a b c (Å): 4.464 4.692 5.941
angles (deg): 90.00 90.00 90.00
Space group Pccm (No. 49)
Asymmetric unit:
Na (0.000, 0.000, 0.250)
Mn (0.500, 0.500, 0.250)
H (0.000, 0.500, 0.000)
O (0.216, 0.332, 0.000)

DFT total energy = -0.2108 hartree per atom